{"formula": "HoSnS3", "functional": "PBE", "state": "relaxed", "e_tot_ev_per_cell": -52.99, "space_group": "No. 11", "dos_ef_per_ev_atom": 0.536, "raw_formation_energy_mev_per_atom": -1106.8, "lattice_angstrom": [[6.6786, 0.0000, 0.0000], [0.0000, 3.9734, 0.0000], [-1.4666, 0.0000, 9.6954]], "species": ["Ho", "Ho", "Sn", "Sn", "S", "S", "S", "S", "S", "S"], "frac_coords": [[0.1470, 0.2500, 0.1441], [0.8530, 0.7500, 0.8559], [0.2695, 0.2500, 0.5338], [0.7305, 0.7500, 0.4662], [0.0696, 0.7500, 0.3453], [0.2289, 0.7500, 0.9876], [0.4838, 0.7500, 0.6651], [0.5162, 0.2500, 0.3349], [0.7711, 0.2500, 0.0124], [0.9304, 0.2500, 0.6547]]}

---

{"formula": "Ho2SnS", "functional": "PBE", "state": "relaxed", "e_tot_ev_per_cell": -22.39, "space_group": "No. 160", "dos_ef_per_ev_atom": 0.532, "raw_formation_energy_mev_per_atom": -1276.6, "lattice_angstrom": [[1.8786, 1.0846, 7.9831], [-1.8786, 1.0846, 7.9831], [0.0000, -2.1693, 7.9831]], "species": ["Ho", "Ho", "Sn", "S"], "frac_coords": [[0.0000, 0.0000, 0.0000], [0.1988, 0.1988, 0.1988], [0.7668, 0.7668, 0.7668], [0.5986, 0.5986, 0.5986]]}

---

{"formula": "Ho4SnS2", "functional": "PBE", "state": "relaxed", "e_tot_ev_per_cell": -80.45, "space_group": "No. 63", "dos_ef_per_ev_atom": 0.811, "raw_formation_energy_mev_per_atom": -1379.5, "lattice_angstrom": [[1.9837, -6.5079, 0.0000], [1.9837, 6.5079, 0.0000], [0.0000, 0.0000, 13.2916]], "species": ["Ho", "Ho", "Ho", "Ho", "Ho", "Ho", "Ho", "Ho", "Sn", "Sn", "S", "S", "S", "S"], "frac_coords": [[0.0000, 0.0000, 0.0000], [0.0000, 0.0000, 0.5000], [0.2650, 0.7350, 0.6169], [0.2650, 0.7350, 0.8831], [0.4286, 0.5714, 0.2500], [0.5714, 0.4286, 0.7500], [0.7350, 0.2650, 0.1169], [0.7350, 0.2650, 0.3831], [0.1064, 0.8936, 0.2500], [0.8936, 0.1064, 0.7500], [0.3661, 0.6339, 0.0579], [0.3661, 0.6339, 0.4421], [0.6339, 0.3661, 0.5579], [0.6339, 0.3661, 0.9421]]}

---

{"formula": "Ho3SnS2", "functional": "PBE", "state": "relaxed", "e_tot_ev_per_cell": -65.87, "space_group": "No. 74", "dos_ef_per_ev_atom": 0.339, "raw_formation_energy_mev_per_atom": -1157.6, "lattice_angstrom": [[-3.5531, 5.3475, 4.4231], [3.5531, -5.3475, 4.4231], [3.5531, 5.3475, -4.4231]], "species": ["Ho", "Ho", "Ho", "Ho", "Ho", "Ho", "Sn", "Sn", "S", "S", "S", "S"], "frac_coords": [[0.0000, 0.2306, 0.2306], [0.0000, 0.7694, 0.7694], [0.5000, 0.0000, 0.0000], [0.5000, 0.2306, 0.7306], [0.5000, 0.5000, 0.5000], [0.5000, 0.7694, 0.2694], [0.1937, 0.9437, 0.2500], [0.8063, 0.0563, 0.7500], [0.2600, 0.7023, 0.5577], [0.3554, 0.2977, 0.0577], [0.6446, 0.7023, 0.9423], [0.7400, 0.2977, 0.4423]]}

---

{"formula": "Ho8SnS6", "functional": "PBE", "state": "relaxed", "e_tot_ev_per_cell": -88.54, "space_group": "No. 147", "dos_ef_per_ev_atom": 0.679, "raw_formation_energy_mev_per_atom": -1543.3, "lattice_angstrom": [[10.1595, 0.0000, 0.0000], [-5.0798, 8.7984, 0.0000], [0.0000, 0.0000, 3.8973]], "species": ["Ho", "Ho", "Ho", "Ho", "Ho", "Ho", "Ho", "Ho", "Sn", "S", "S", "S", "S", "S", "S"], "frac_coords": [[0.0350, 0.3354, 0.2480], [0.3004, 0.9650, 0.2480], [0.3333, 0.6667, 0.7516], [0.3354, 0.3004, 0.7520], [0.6646, 0.6996, 0.2480], [0.6667, 0.3333, 0.2484], [0.6996, 0.0350, 0.7520], [0.9650, 0.6646, 0.7520], [0.0000, 0.0000, 0.0000], [0.1364, 0.6532, 0.2502], [0.3468, 0.4831, 0.2502], [0.4831, 0.1364, 0.7498], [0.5169, 0.8636, 0.2502], [0.6532, 0.5169, 0.7498], [0.8636, 0.3468, 0.7498]]}

---

{"formula": "Ho3Sn5S12", "functional": "PBE", "state": "relaxed", "e_tot_ev_per_cell": -403.54, "space_group": "No. 230", "dos_ef_per_ev_atom": 0.235, "raw_formation_energy_mev_per_atom": -880.5, "lattice_angstrom": [[-7.9510, 7.9510, 7.9510], [7.9510, -7.9510, 7.9510], [7.9510, 7.9510, -7.9510]], "species": ["Ho", "Ho", "Ho", "Ho", "Ho", "Ho", "Ho", "Ho", "Ho", "Ho", "Ho", "Ho", "Sn", "Sn", "Sn", "Sn", "Sn", "Sn", "Sn", "Sn", "Sn", "Sn", "Sn", "Sn", "Sn", "Sn", "Sn", "Sn", "Sn", "Sn", "Sn", "Sn", "S", "S", "S", "S", "S", "S", "S", "S", "S", "S", "S", "S", "S", "S", "S", "S", "S", "S", "S", "S", "S", "S", "S", "S", "S", "S", "S", "S", "S", "S", "S", "S", "S", "S", "S", "S", "S", "S", "S", "S", "S", "S", "S", "S", "S", "S", "S", "S"], "frac_coords": [[0.1250, 0.2500, 0.3750], [0.1250, 0.3750, 0.7500], [0.2500, 0.3750, 0.1250], [0.2500, 0.8750, 0.6250], [0.3750, 0.1250, 0.2500], [0.3750, 0.7500, 0.1250], [0.6250, 0.2500, 0.8750], [0.6250, 0.8750, 0.7500], [0.7500, 0.1250, 0.3750], [0.7500, 0.6250, 0.8750], [0.8750, 0.6250, 0.2500], [0.8750, 0.7500, 0.6250], [0.0000, 0.0000, 0.0000], [0.0000, 0.0000, 0.5000], [0.0000, 0.5000, 0.0000], [0.0000, 0.5000, 0.5000], [0.1250, 0.7500, 0.8750], [0.1250, 0.8750, 0.2500], [0.2500, 0.1250, 0.8750], [0.2500, 0.6250, 0.3750], [0.3750, 0.2500, 0.6250], [0.3750, 0.6250, 0.7500], [0.5000, 0.0000, 0.0000], [0.5000, 0.0000, 0.5000], [0.5000, 0.5000, 0.0000], [0.5000, 0.5000, 0.5000], [0.6250, 0.3750, 0.2500], [0.6250, 0.7500, 0.3750], [0.7500, 0.3750, 0.6250], [0.7500, 0.8750, 0.1250], [0.8750, 0.1250, 0.7500], [0.8750, 0.2500, 0.1250], [0.0499, 0.2258, 0.1391], [0.0499, 0.3241, 0.9108], [0.0866, 0.7258, 0.6759], [0.0866, 0.8609, 0.4108], [0.0892, 0.6391, 0.4134], [0.0892, 0.9501, 0.6759], [0.1391, 0.0499, 0.2258], [0.1391, 0.5892, 0.9134], [0.1759, 0.2258, 0.5866], [0.1759, 0.4501, 0.5892], [0.2258, 0.1391, 0.0499], [0.2258, 0.5866, 0.1759], [0.2742, 0.3241, 0.9134], [0.2742, 0.4501, 0.3609], [0.3241, 0.9108, 0.0499], [0.3241, 0.9134, 0.2742], [0.3609, 0.2742, 0.4501], [0.3609, 0.5866, 0.9108], [0.4108, 0.0866, 0.8609], [0.4108, 0.8241, 0.5499], [0.4134, 0.0892, 0.6391], [0.4134, 0.8241, 0.7742], [0.4501, 0.3609, 0.2742], [0.4501, 0.5892, 0.1759], [0.5499, 0.4108, 0.8241], [0.5499, 0.6391, 0.7258], [0.5866, 0.1759, 0.2258], [0.5866, 0.9108, 0.3609], [0.5892, 0.1759, 0.4501], [0.5892, 0.9134, 0.1391], [0.6391, 0.4134, 0.0892], [0.6391, 0.7258, 0.5499], [0.6759, 0.0866, 0.7258], [0.6759, 0.0892, 0.9501], [0.7258, 0.5499, 0.6391], [0.7258, 0.6759, 0.0866], [0.7742, 0.4134, 0.8241], [0.7742, 0.8609, 0.9501], [0.8241, 0.5499, 0.4108], [0.8241, 0.7742, 0.4134], [0.8609, 0.4108, 0.0866], [0.8609, 0.9501, 0.7742], [0.9108, 0.0499, 0.3241], [0.9108, 0.3609, 0.5866], [0.9134, 0.1391, 0.5892], [0.9134, 0.2742, 0.3241], [0.9501, 0.6759, 0.0892], [0.9501, 0.7742, 0.8609]]}

---

{"formula": "HoSn2S4", "functional": "PBE", "state": "relaxed", "e_tot_ev_per_cell": -70.96, "space_group": "No. 63", "dos_ef_per_ev_atom": 0.414, "raw_formation_energy_mev_per_atom": -912.4, "lattice_angstrom": [[1.8944, -6.6200, 0.0000], [1.8944, 6.6200, 0.0000], [0.0000, 0.0000, 13.2847]], "species": ["Ho", "Ho", "Sn", "Sn", "Sn", "Sn", "S", "S", "S", "S", "S", "S", "S", "S"], "frac_coords": [[0.1182, 0.8818, 0.7500], [0.8818, 0.1182, 0.2500], [0.3693, 0.6307, 0.5692], [0.3693, 0.6307, 0.9308], [0.6307, 0.3693, 0.0692], [0.6307, 0.3693, 0.4308], [0.0000, 0.0000, 0.0000], [0.0000, 0.0000, 0.5000], [0.2859, 0.7141, 0.1254], [0.2859, 0.7141, 0.3746], [0.4719, 0.5281, 0.7500], [0.5281, 0.4719, 0.2500], [0.7141, 0.2859, 0.6254], [0.7141, 0.2859, 0.8746]]}

---

{"formula": "Sr2HoSnS5", "functional": "PBE", "state": "relaxed", "e_tot_ev_per_cell": -93.67, "space_group": "No. 36", "dos_ef_per_ev_atom": 0.234, "raw_formation_energy_mev_per_atom": -1584.0, "lattice_angstrom": [[2.0730, -8.6392, 0.0000], [2.0730, 8.6392, 0.0000], [0.0000, 0.0000, 12.6997]], "species": ["Sr", "Sr", "Sr", "Sr", "Ho", "Ho", "Sn", "Sn", "S", "S", "S", "S", "S", "S", "S", "S", "S", "S"], "frac_coords": [[0.1095, 0.8905, 0.5000], [0.1386, 0.8614, 0.1242], [0.8614, 0.1386, 0.6242], [0.8905, 0.1095, 0.0000], [0.2147, 0.7853, 0.8380], [0.7853, 0.2147, 0.3380], [0.4654, 0.5346, 0.2723], [0.5346, 0.4654, 0.7723], [0.0556, 0.9444, 0.8887], [0.2810, 0.7190, 0.4805], [0.3162, 0.6838, 0.1966], [0.3680, 0.6320, 0.8171], [0.4916, 0.5084, 0.5830], [0.5084, 0.4916, 0.0830], [0.6320, 0.3680, 0.3171], [0.6838, 0.3162, 0.6966], [0.7190, 0.2810, 0.9805], [0.9444, 0.0556, 0.3887]]}

---

{"formula": "Ho6SnTe3S2", "functional": "PBE", "state": "relaxed", "e_tot_ev_per_cell": -66.14, "space_group": "No. 12", "dos_ef_per_ev_atom": 0.462, "raw_formation_energy_mev_per_atom": -1415.6, "lattice_angstrom": [[3.6000, -6.2186, 0.0000], [3.6000, 6.2186, 0.0000], [-2.3965, 0.0000, 7.0483]], "species": ["Ho", "Ho", "Ho", "Ho", "Ho", "Ho", "Sn", "Te", "Te", "Te", "S", "S"], "frac_coords": [[0.0768, 0.4278, 0.7825], [0.2191, 0.2191, 0.2118], [0.4278, 0.0768, 0.7825], [0.5722, 0.9232, 0.2175], [0.7809, 0.7809, 0.7882], [0.9232, 0.5722, 0.2175], [0.5000, 0.5000, 0.0000], [0.0000, 0.0000, 0.5000], [0.3396, 0.6604, 0.5000], [0.6604, 0.3396, 0.5000], [0.1679, 0.8321, 0.0000], [0.8321, 0.1679, 0.0000]]}

---

{"formula": "Ho2Tl2SnS6", "functional": "PBE", "state": "relaxed", "e_tot_ev_per_cell": -55.42, "space_group": "No. 12", "raw_formation_energy_mev_per_atom": -1160.6, "lattice_angstrom": [[3.4041, -5.8743, 0.0000], [3.4041, 5.8743, 0.0000], [-2.3523, 0.0000, 7.6300]], "species": ["Ho", "Ho", "Tl", "Tl", "Sn", "S", "S", "S", "S", "S", "S"], "frac_coords": [[0.1681, 0.8319, 0.0000], [0.8319, 0.1681, 0.0000], [0.3282, 0.6718, 0.5000], [0.6718, 0.3282, 0.5000], [0.5000, 0.5000, 0.0000], [0.1128, 0.4319, 0.8068], [0.2523, 0.2523, 0.1922], [0.4319, 0.1128, 0.8068], [0.5681, 0.8872, 0.1932], [0.7477, 0.7477, 0.8078], [0.8872, 0.5681, 0.1932]]}

---

{"formula": "Ho3Tl3SnS8", "functional": "PBE", "state": "relaxed", "e_tot_ev_per_cell": -76.60, "space_group": "No. 166", "dos_ef_per_ev_atom": 0.032, "raw_formation_energy_mev_per_atom": -1249.5, "lattice_angstrom": [[3.9518, 2.2816, 7.6441], [-3.9518, 2.2816, 7.6441], [0.0000, -4.5631, 7.6441]], "species": ["Ho", "Ho", "Ho", "Tl", "Tl", "Tl", "Sn", "S", "S", "S", "S", "S", "S", "S", "S"], "frac_coords": [[0.0000, 0.5000, 0.5000], [0.5000, 0.0000, 0.5000], [0.5000, 0.5000, 0.0000], [0.0000, 0.0000, 0.5000], [0.0000, 0.5000, 0.0000], [0.5000, 0.0000, 0.0000], [0.0000, 0.0000, 0.0000], [0.2231, 0.2231, 0.7451], [0.2231, 0.7451, 0.2231], [0.2549, 0.7769, 0.7769], [0.2683, 0.2683, 0.2683], [0.7317, 0.7317, 0.7317], [0.7451, 0.2231, 0.2231], [0.7769, 0.2549, 0.7769], [0.7769, 0.7769, 0.2549]]}

---

{"formula": "Ho3Tl4SnS8", "functional": "PBE", "state": "relaxed", "e_tot_ev_per_cell": -79.43, "space_group": "No. 166", "dos_ef_per_ev_atom": 0.211, "raw_formation_energy_mev_per_atom": -1200.6, "lattice_angstrom": [[4.0152, 2.3182, 7.5086], [-4.0152, 2.3182, 7.5086], [0.0000, -4.6364, 7.5086]], "species": ["Ho", "Ho", "Ho", "Tl", "Tl", "Tl", "Tl", "Sn", "S", "S", "S", "S", "S", "S", "S", "S"], "frac_coords": [[0.0000, 0.5000, 0.5000], [0.5000, 0.0000, 0.5000], [0.5000, 0.5000, 0.0000], [0.0000, 0.0000, 0.5000], [0.0000, 0.5000, 0.0000], [0.5000, 0.0000, 0.0000], [0.5000, 0.5000, 0.5000], [0.0000, 0.0000, 0.0000], [0.2317, 0.2317, 0.7328], [0.2317, 0.7328, 0.2317], [0.2672, 0.7683, 0.7683], [0.2677, 0.2677, 0.2677], [0.7323, 0.7323, 0.7323], [0.7328, 0.2317, 0.2317], [0.7683, 0.2672, 0.7683], [0.7683, 0.7683, 0.2672]]}